Record 1
VASP calculation (PBE) on a geometry-optimized CaTcN3 structure.

Cell and atoms, written as POSCAR:
```
CaTcN3
1.0
5.067 -0.003 -0.011
0.968 5.856 0.004
1.210 -2.607 4.914
N Tc Ca
6 2 2
Cartesian
2.324 3.478 2.575 N
6.341 4.140 2.048 N
6.185 0.312 4.290 N
3.557 0.777 3.126 N
2.409 -0.122 0.817 N
4.279 -2.097 4.882 N
1.872 -0.382 2.690 Tc
4.541 -0.678 3.635 Tc
2.416 2.262 4.659 Ca
4.384 2.598 1.709 Ca
```

Output
The value obtained for the electronic total energy is -7.766 eV per atom. The calculation puts the formation energy (no corrections) at -1.49 eV per formula unit. The space group is No. 1.

Record 2
VASP calculation (PBE) on a geometry-optimized CaTcN3 structure.

Cell and atoms, written as POSCAR:
```
CaTcN3
1.0
-0.280 -2.040 2.384
-3.430 -2.039 -4.228
5.699 -4.062 -2.808
N Ca Tc
6 2 2
Cartesian
-1.748 -2.558 -0.023 N
1.289 -2.545 0.346 N
-2.275 -3.449 -0.847 N
1.519 -4.256 -3.174 N
4.343 -4.371 -0.859 N
1.673 -3.445 -0.380 N
-0.246 -0.589 -0.243 Ca
-0.177 -5.779 -2.595 Ca
2.487 -4.723 -1.378 Tc
2.528 -5.690 -4.283 Tc
```

Output
The value obtained for the electronic total energy is -7.735 eV per atom. The calculation puts the formation energy (no corrections) at -1.33 eV per formula unit. The space group is No. 8.